(1)
# GdMgGe, optimized geometry, DFT GGA-PBE
# Formation enthalpy at 0 K: -0.479 eV per atom
# Volume: 23.23 A^3/atom
# Electronic total energy: -7.24 eV per atom
data_GdMgGe
_chemical_formula_sum 'Gd1 Mg1 Ge1'
_cell_length_a 4.4607
_cell_length_b 4.4607
_cell_length_c 4.0447
_cell_angle_alpha 90.00
_cell_angle_beta 90.00
_cell_angle_gamma 120.00
_space_group_name_H-M_alt 'P 3 m 1'
_space_group_IT_number 156
_space_group_name_Hall 'P 3 -2"'
loop_
_atom_site_label
_atom_site_type_symbol
_atom_site_fract_x
_atom_site_fract_y
_atom_site_fract_z
Gd1 Gd 0.0000 0.0000 0.0000
Mg1 Mg 0.3333 0.6667 0.4975
Ge1 Ge 0.6667 0.3333 0.5070

=====

(2)
# GdMg2Ge, optimized geometry, DFT GGA-PBE
# ΔE to the lowest computed polymorph: 0.531 eV/atom
# Formation enthalpy at 0 K: 0.152 eV per atom
# Volume: 24.16 A^3/atom
# Electronic total energy: -5.32 eV per atom
data_GdMg2Ge
_chemical_formula_sum 'Gd3 Mg6 Ge3'
_cell_length_a 3.2054
_cell_length_b 3.2054
_cell_length_c 32.5875
_cell_angle_alpha 90.00
_cell_angle_beta 90.00
_cell_angle_gamma 120.00
_space_group_name_H-M_alt 'R -3 m'
_space_group_IT_number 166
_space_group_name_Hall '-R 3 2"'
loop_
_atom_site_label
_atom_site_type_symbol
_atom_site_fract_x
_atom_site_fract_y
_atom_site_fract_z
Gd1 Gd 0.0000 0.0000 0.0000
Mg1 Mg 0.0000 0.0000 0.0978
Ge1 Ge 0.0000 0.0000 0.5000

=====

(3)
# GdMgGePd, optimized geometry, DFT GGA-PBE
# Formation enthalpy at 0 K: -0.647 eV per atom
# Volume: 20.08 A^3/atom
# Electronic total energy: -7.02 eV per atom
data_GdMgGePd
_chemical_formula_sum 'Gd4 Mg4 Ge4 Pd4'
_cell_length_a 6.849
_cell_length_b 6.849
_cell_length_c 6.849
_cell_angle_alpha 90.00
_cell_angle_beta 90.00
_cell_angle_gamma 90.00
_space_group_name_H-M_alt 'F -4 3 m'
_space_group_IT_number 216
_space_group_name_Hall 'F -4 2 3'
loop_
_atom_site_label
_atom_site_type_symbol
_atom_site_fract_x
_atom_site_fract_y
_atom_site_fract_z
Gd1 Gd 0.000 0.000 0.000
Mg1 Mg 0.000 0.000 0.500
Ge1 Ge 0.250 0.250 0.750
Pd1 Pd 0.250 0.250 0.250

=====

(4)
# GdMgGePt, optimized geometry, DFT GGA-PBE
# Formation enthalpy at 0 K: -0.733 eV per atom
# Volume: 20.04 A^3/atom
# Electronic total energy: -7.32 eV per atom
data_GdMgGePt
_chemical_formula_sum 'Gd4 Mg4 Ge4 Pt4'
_cell_length_a 6.845
_cell_length_b 6.845
_cell_length_c 6.845
_cell_angle_alpha 90.00
_cell_angle_beta 90.00
_cell_angle_gamma 90.00
_space_group_name_H-M_alt 'F -4 3 m'
_space_group_IT_number 216
_space_group_name_Hall 'F -4 2 3'
loop_
_atom_site_label
_atom_site_type_symbol
_atom_site_fract_x
_atom_site_fract_y
_atom_site_fract_z
Gd1 Gd 0.000 0.000 0.000
Mg1 Mg 0.000 0.000 0.500
Ge1 Ge 0.250 0.250 0.250
Pt1 Pt 0.250 0.250 0.750

=====

(5)
# GdPuMgGe, optimized geometry, DFT GGA-PBE
# Formation enthalpy at 0 K: -0.235 eV per atom
# Volume: 24.49 A^3/atom
# Electronic total energy: -8.89 eV per atom
data_GdPuMgGe
_chemical_formula_sum 'Gd4 Pu4 Mg4 Ge4'
_cell_length_a 7.317
_cell_length_b 7.317
_cell_length_c 7.317
_cell_angle_alpha 90.00
_cell_angle_beta 90.00
_cell_angle_gamma 90.00
_space_group_name_H-M_alt 'F -4 3 m'
_space_group_IT_number 216
_space_group_name_Hall 'F -4 2 3'
loop_
_atom_site_label
_atom_site_type_symbol
_atom_site_fract_x
_atom_site_fract_y
_atom_site_fract_z
Gd1 Gd 0.000 0.000 0.000
Pu1 Pu 0.000 0.000 0.500
Mg1 Mg 0.250 0.250 0.750
Ge1 Ge 0.250 0.250 0.250

=====

(6)
# SmGdMgGe, optimized geometry, DFT GGA-PBE
# Formation enthalpy at 0 K: -0.373 eV per atom
# Volume: 24.95 A^3/atom
# Electronic total energy: -6.63 eV per atom
data_SmGdMgGe
_chemical_formula_sum 'Sm4 Gd4 Mg4 Ge4'
_cell_length_a 7.364
_cell_length_b 7.364
_cell_length_c 7.364
_cell_angle_alpha 90.00
_cell_angle_beta 90.00
_cell_angle_gamma 90.00
_space_group_name_H-M_alt 'F -4 3 m'
_space_group_IT_number 216
_space_group_name_Hall 'F -4 2 3'
loop_
_atom_site_label
_atom_site_type_symbol
_atom_site_fract_x
_atom_site_fract_y
_atom_site_fract_z
Sm1 Sm 0.000 0.000 0.000
Gd1 Gd 0.000 0.000 0.500
Mg1 Mg 0.250 0.250 0.750
Ge1 Ge 0.250 0.250 0.250